(1)
VASP calculation (PBE-GGA) on CsPrSnO3 after structural relaxation.

a = 7.394 Å, b = 3.629 Å, c = 11.288 Å
α = 90.00°, β = 97.15°, γ = 90.00°
Fractional positions:
1 Cs 0.177 0.250 0.248
2 Cs 0.823 0.750 0.752
3 Pr 0.375 0.750 0.877
4 Pr 0.625 0.250 0.123
5 Sn 0.260 0.250 0.613
6 Sn 0.740 0.750 0.387
7 O 0.179 0.250 0.787
8 O 0.413 0.750 0.088
9 O 0.418 0.750 0.661
10 O 0.582 0.250 0.339
11 O 0.587 0.250 0.912
12 O 0.821 0.750 0.213

Calculated values
**Raw total energy**: -6.186 eV per atom
**Magnetization**: 0.0 μB/f.u.
**Volume**: 25.05 A^3/atom
**Formation energy from raw total energies**: -2.101 eV/atom

---

(2)
VASP calculation (PBE-GGA) on CaAgSbSe3 after structural relaxation.

a = 8.422 Å, b = 4.116 Å, c = 9.128 Å
α = 90.00°, β = 101.88°, γ = 90.00°
Fractional positions:
1 Ca 0.188 0.250 0.250
2 Ca 0.812 0.750 0.750
3 Ag 0.089 0.250 0.589
4 Ag 0.911 0.750 0.411
5 Sb 0.326 0.750 0.847
6 Sb 0.674 0.250 0.153
7 Se 0.098 0.250 0.889
8 Se 0.257 0.750 0.496
9 Se 0.422 0.750 0.154
10 Se 0.578 0.250 0.846
11 Se 0.743 0.250 0.504
12 Se 0.902 0.750 0.111

Calculated values
**Raw total energy**: -3.970 eV per atom
**Magnetization**: 0.0 μB/f.u.
**Volume**: 25.81 A^3/atom
**Formation energy from raw total energies**: -0.732 eV/atom

---

(3)
VASP calculation (PBE-GGA) on Na2SmPuO4 after structural relaxation.

a = 5.980 Å, b = 3.530 Å, c = 6.099 Å
α = 90.00°, β = 109.95°, γ = 90.00°
Fractional positions:
1 Na 0.000 0.000 0.000
2 Na 0.000 0.500 0.500
3 Sm 0.500 0.000 0.500
4 Pu 0.500 0.500 0.000
5 O 0.283 0.500 0.261
6 O 0.286 0.000 0.765
7 O 0.714 0.000 0.235
8 O 0.717 0.500 0.739

Calculated values
**Raw total energy**: -7.710 eV per atom
**Magnetization**: 5.0 μB/f.u.
**Volume**: 15.13 A^3/atom
**Formation energy from raw total energies**: -2.520 eV/atom

---

(4)
VASP calculation (PBE-GGA) on Sb2SeIF after structural relaxation.

a = 4.726 Å, b = 4.726 Å, c = 5.963 Å
α = 90.00°, β = 90.00°, γ = 90.00°
Fractional positions:
1 Sb 0.000 0.500 0.000
2 Sb 0.500 0.000 0.000
3 Se 0.000 0.000 0.500
4 I 0.500 0.500 0.500
5 F 0.500 0.500 0.000

Calculated values
**Raw total energy**: -2.855 eV per atom
**Magnetization**: 0.0 μB/f.u.
**Volume**: 26.64 A^3/atom
**Formation energy from raw total energies**: 0.175 eV/atom
**E above lowest polymorph**: 0 meV/atom

---

- Look up the volume of the third one.
  15.13 A^3/atom

---

- The highest raw total energy belongs to which entry?
  Sb2SeIF